10
Lattice="4.6713 0.0000 1.0675 0.0000 4.7887 0.0000 -0.4392 0.0000 12.6762" Properties=species:S:1:pos:R:3 comment="Ho3ErIn GGA-PBE optimized geometry" relative_energy_ev_per_atom=0.000 crystal_system=orthorhombic space_group="Cmcm (63)" delta_e_f_ev_per_atom=-0.18 pbc="T T T"
In 4.2551 1.1972 9.8612
In 3.0056 3.5915 4.5747
Er 1.9067 3.5915 9.3832
Er 0.6827 1.1972 3.9852
Ho 0.1261 3.5915 6.4208
Ho 1.3493 1.1972 11.8222
Ho 2.4633 1.1972 6.9475
Ho 3.7018 3.5915 12.2823
Ho 1.2400 3.5915 1.5461
Ho 3.5588 1.1972 2.1535